First-principles (PBE) data for an optimized crystal structure of HfMgAg, as listed in Alexandria via LeMat-Bulk.

As for the total magnetic moment: 0.002 μB per atom. Its formation energy is 0.160 eV/atom. As for the symmetry: P-3m1 (164). The uncorrected energy is -4.64 eV/atom.

Lattice parameters (Å, degrees): 4.8414 4.8414 5.9583 90.00 90.00 120.00
Last column: nearest neighbours and their distance in Å.
Atoms (fractional coordinates):
Mg 0.0000 0.0000 0.2448  3 Ag 2.90, 2 Mg 2.92-3.04, 3 Hf 2.94
Mg 0.0000 0.0000 0.7552  3 Ag 2.90, 2 Mg 2.92-3.04, 3 Hf 2.94
Hf 0.6667 0.3333 0.6039  5 Ag 2.93-3.27, 3 Mg 2.94, 3 Hf 3.06
Hf 0.3333 0.6667 0.3961  5 Ag 2.93-3.27, 3 Mg 2.94, 3 Hf 3.06
Ag 0.6667 0.3333 0.1128  3 Mg 2.90, 2 Hf 2.93-3.03, 3 Ag 3.10
Ag 0.3333 0.6667 0.8872  3 Mg 2.90, 2 Hf 2.93-3.03, 3 Ag 3.10


First-principles (PBE) data for an optimized crystal structure of Sm4C2S, as listed in Alexandria via LeMat-Bulk.

As for the formation energy from raw total energies: -5.2 eV per formula unit. As for the total magnetic moment: 0.000 μB per atom. As for the symmetry: R-3m (166). The uncorrected energy is -6.66 eV/atom.

Lattice parameters (Å, degrees): 3.7693 3.7693 13.2887 81.85 81.85 60.00
Last column: nearest neighbours and their distance in Å.
Atoms (fractional coordinates):
Sm 0.7127 0.7127 0.8619  3 C 2.66, 3 S 2.83
Sm 0.1166 0.1166 0.6502  3 C 2.50
Sm 0.2873 0.2873 0.1381  3 C 2.66, 3 S 2.83
Sm 0.8834 0.8834 0.3498  3 C 2.50
C 0.4184 0.4184 0.7448  6 Sm 2.50-2.66
C 0.5816 0.5816 0.2552  6 Sm 2.50-2.66
S 0.0000 0.0000 0.0000  6 Sm 2.83


First-principles (PBE) data for an optimized crystal structure of LiInNi2, as listed in Alexandria via LeMat-Bulk.

As for the total magnetic moment: 0.000 μB per atom. Its formation energy is 0.205 eV/atom. As for the symmetry: I-42d (122). The uncorrected energy is -3.85 eV/atom.

Lattice parameters (Å, degrees): 6.7032 6.7032 5.3906 51.56 51.56 90.00
Last column: nearest neighbours and their distance in Å.
Atoms (fractional coordinates):
Ni 0.6020 0.1250 0.2500  2 Li 2.35, 2 In 2.56, 2 Ni 2.59
Ni 0.8750 0.8520 0.7500  2 Li 2.35, 2 In 2.56, 2 Ni 2.59
Ni 0.3750 0.3980 0.7500  2 Li 2.35, 2 In 2.56, 2 Ni 2.59
Ni 0.1480 0.6250 0.2500  2 Li 2.35, 2 In 2.56, 2 Ni 2.59
Li 0.2500 0.7500 0.5000  4 Ni 2.35, 2 In 2.57
Li 0.5000 0.5000 0.0000  4 Ni 2.35, 2 In 2.57
In 0.7500 0.2500 0.5000  4 Ni 2.56, 2 Li 2.57
In 0.0000 0.0000 0.0000  4 Ni 2.56, 2 Li 2.57


First-principles (PBE) data for an optimized crystal structure of VCuTe2N, as listed in Alexandria via LeMat-Bulk.

As for the formation energy from raw total energies: 4.1 eV per formula unit. As for the total magnetic moment: 0.796 μB per atom. As for the symmetry: P4/mmm (123). The uncorrected energy is -4.74 eV/atom.

Lattice parameters (Å, degrees): 5.3594 5.3594 3.5160 90.00 90.00 90.00
Last column: nearest neighbours and their distance in Å.
Atoms (fractional coordinates):
Te 0.5000 0.0000 0.0000  2 Cu 2.68
Te 0.0000 0.5000 0.0000  2 Cu 2.68
Cu 0.0000 0.0000 0.0000  2 N 1.76
N 0.0000 0.0000 0.5000  2 Cu 1.76
V 0.5000 0.5000 0.5000  8 Te 3.20, 2 V 3.52


First-principles (PBE) data for an optimized crystal structure of Zr2Sc2Cd, as listed in Alexandria via LeMat-Bulk.

As for the total magnetic moment: 0.000 μB per atom. Its formation energy is 0.154 eV/atom. As for the symmetry: P4/mbm (127). The uncorrected energy is -5.98 eV/atom.

Lattice parameters (Å, degrees): 7.9366 7.9366 3.7512 90.00 90.00 90.00
Last column: nearest neighbours and their distance in Å.
Atoms (fractional coordinates):
Sc 0.8347 0.3347 0.5000  6 Zr 2.95-3.02
Sc 0.6653 0.8347 0.5000  6 Zr 2.95-3.02
Sc 0.3347 0.1653 0.5000  6 Zr 2.95-3.02
Sc 0.1653 0.6653 0.5000  6 Zr 2.95-3.02
Zr 0.6318 0.1318 0.0000  6 Sc 2.95-3.02, 1 Zr 2.96, 2 Cd 3.10
Zr 0.8682 0.6318 0.0000  6 Sc 2.95-3.02, 1 Zr 2.96, 2 Cd 3.10
Zr 0.3682 0.8682 0.0000  6 Sc 2.95-3.02, 1 Zr 2.96, 2 Cd 3.10
Zr 0.1318 0.3682 0.0000  6 Sc 2.95-3.02, 1 Zr 2.96, 2 Cd 3.10
Cd 0.0000 0.0000 0.0000  4 Zr 3.10
Cd 0.5000 0.5000 0.0000  4 Zr 3.10


First-principles (PBE) data for an optimized crystal structure of TbHo6Tl3, as listed in Alexandria via LeMat-Bulk.

As for the total magnetic moment: 0.000 μB per atom. Its formation energy is -0.076 eV/atom. As for the symmetry: Cmc2_1 (36). The uncorrected energy is -4.00 eV/atom.

Lattice parameters (Å, degrees): 7.6671 9.3039 9.3039 111.72 90.00 90.00
Last column: nearest neighbours and their distance in Å.
Atoms (fractional coordinates):
Tl 0.8182 0.5578 0.4422  7 Ho 3.18-3.30
Tl 0.4314 0.9783 0.7124  6 Ho 3.07-3.35, 1 Tl 3.23, 1 Tb 3.31
Tl 0.9314 0.7124 0.9783  6 Ho 3.07-3.35, 1 Tl 3.23, 1 Tb 3.31
Tl 0.9314 0.0217 0.2876  6 Ho 3.07-3.35, 1 Tl 3.23, 1 Tb 3.31
Tl 0.3182 0.4422 0.5578  7 Ho 3.18-3.30
Tl 0.4314 0.2876 0.0217  6 Ho 3.07-3.35, 1 Tl 3.23, 1 Tb 3.31
Ho 0.7941 0.0450 0.9550  1 Tb 3.28, 4 Tl 3.35-3.49, 4 Ho 3.40-3.53
Ho 0.2944 0.0763 0.4519  3 Tl 3.07-3.18, 1 Ho 3.36, 1 Tb 3.40
Ho 0.6049 0.6962 0.7632  4 Tl 3.13-3.27, 2 Ho 3.36-3.40
Ho 0.1049 0.3038 0.2368  4 Tl 3.13-3.27, 2 Ho 3.36-3.40
Ho 0.1303 0.7049 0.2951  3 Tl 3.30-3.34, 6 Ho 3.45-3.57
Ho 0.7944 0.9237 0.5481  3 Tl 3.07-3.18, 1 Ho 3.36, 1 Tb 3.40
Ho 0.7944 0.4519 0.0763  3 Tl 3.07-3.18, 1 Ho 3.36, 1 Tb 3.40
Ho 0.2941 0.9550 0.0450  1 Tb 3.28, 4 Tl 3.35-3.49, 4 Ho 3.40-3.53
Ho 0.1049 0.7632 0.6962  4 Tl 3.13-3.27, 2 Ho 3.36-3.40
Ho 0.6049 0.2368 0.3038  4 Tl 3.13-3.27, 2 Ho 3.36-3.40
Ho 0.6303 0.2951 0.7049  3 Tl 3.30-3.34, 6 Ho 3.45-3.57
Ho 0.2944 0.5481 0.9237  3 Tl 3.07-3.18, 1 Ho 3.36, 1 Tb 3.40
Tb 0.5814 0.7972 0.2028  5 Ho 3.28-3.54, 2 Tl 3.31
Tb 0.0814 0.2028 0.7972  5 Ho 3.28-3.54, 2 Tl 3.31


First-principles (PBE) data for an optimized crystal structure of Tb7Nd2Er3, as listed in Alexandria via LeMat-Bulk.

As for the total magnetic moment: 0.000 μB per atom. Its formation energy is 0.073 eV/atom. As for the symmetry: P2/m (10). The uncorrected energy is -4.56 eV/atom.

Lattice parameters (Å, degrees): 3.5226 6.3446 17.9294 75.53 90.00 90.00
Last column: nearest neighbours and their distance in Å.
Atoms (fractional coordinates):
Er 0.0000 0.8906 0.6577  2 Er 3.52, 7 Tb 3.57-3.73, 4 Nd 3.60-3.68
Er 0.0000 0.1094 0.3423  2 Er 3.52, 7 Tb 3.57-3.73, 4 Nd 3.60-3.68
Er 0.5000 0.5000 0.0000  10 Tb 3.52-3.63, 2 Er 3.52
Tb 0.0000 0.0000 0.0000  8 Tb 3.50-3.58, 4 Er 3.63
Tb 0.5000 0.9394 0.8325  1 Nd 3.50, 8 Tb 3.52-3.64, 3 Er 3.55-3.68
Tb 0.5000 0.7586 0.4983  2 Tb 3.08-3.27, 2 Nd 3.41
Tb 0.0000 0.4388 0.8368  7 Tb 3.50-3.64, 2 Nd 3.52, 3 Er 3.52-3.73
Tb 0.5000 0.0606 0.1675  1 Nd 3.50, 8 Tb 3.52-3.64, 3 Er 3.55-3.68
Tb 0.5000 0.2414 0.5017  2 Tb 3.08-3.27, 2 Nd 3.41
Tb 0.0000 0.5612 0.1632  7 Tb 3.50-3.64, 2 Nd 3.52, 3 Er 3.52-3.73
Nd 0.5000 0.3874 0.6724  5 Tb 3.41-3.52, 2 Nd 3.52, 4 Er 3.60-3.68
Nd 0.5000 0.6126 0.3276  5 Tb 3.41-3.52, 2 Nd 3.52, 4 Er 3.60-3.68


First-principles (PBE) data for an optimized crystal structure of LaAl2GaTc, as listed in Alexandria via LeMat-Bulk.

As for the total magnetic moment: 0.000 μB per atom. Its formation energy is -0.407 eV/atom. As for the symmetry: P4/mmm (123). The uncorrected energy is -5.57 eV/atom.

Lattice parameters (Å, degrees): 4.7646 4.7646 4.8266 90.00 90.00 90.00
Last column: nearest neighbours and their distance in Å.
Atoms (fractional coordinates):
Al 0.0000 0.5000 0.0000  2 Tc 2.38
Al 0.5000 0.0000 0.0000  2 Tc 2.38
La 0.5000 0.5000 0.5000  4 Ga 3.37, 8 Al 3.39
Tc 0.0000 0.0000 0.0000  4 Al 2.38, 2 Ga 2.41
Ga 0.0000 0.0000 0.5000  2 Tc 2.41